[1]
Compound: LiIn2NiCl6
Source: the Open Quantum Materials Database
Functional: PBE
Structure: relaxed

Computed properties:
Calculated volume ... 890.1 Å³ per cell
Crystal system ... cubic
E ... -129.09 eV for the cell shown

The structure in CIF format:
```
data_LiIn2NiCl6
_cell_length_a 9.619
_cell_length_b 9.619
_cell_length_c 9.619
_cell_angle_alpha 90.00
_cell_angle_beta 90.00
_cell_angle_gamma 90.00
_space_group_name_H-M_alt 'F m -3 m'
_space_group_IT_number 225
_space_group_name_Hall '-F 4 2 3'
loop_
_atom_site_label
_atom_site_type_symbol
_atom_site_fract_x
_atom_site_fract_y
_atom_site_fract_z
Li1 Li 0.000 0.000 0.000
In1 In 0.250 0.250 0.250
Ni1 Ni 0.000 0.000 0.500
Cl1 Cl 0.000 0.000 0.258
```

---

[2]
Compound: LiIn2PdCl6
Source: the Open Quantum Materials Database
Functional: PBE
Structure: relaxed

Computed properties:
Calculated volume ... 961.8 Å³ per cell
Crystal system ... cubic
E ... -126.39 eV for the cell shown

The structure in CIF format:
```
data_LiIn2PdCl6
_cell_length_a 9.871
_cell_length_b 9.871
_cell_length_c 9.871
_cell_angle_alpha 90.00
_cell_angle_beta 90.00
_cell_angle_gamma 90.00
_space_group_name_H-M_alt 'F m -3 m'
_space_group_IT_number 225
_space_group_name_Hall '-F 4 2 3'
loop_
_atom_site_label
_atom_site_type_symbol
_atom_site_fract_x
_atom_site_fract_y
_atom_site_fract_z
Li1 Li 0.000 0.000 0.000
In1 In 0.250 0.250 0.250
Pd1 Pd 0.000 0.000 0.500
Cl1 Cl 0.000 0.000 0.255
```

---

[3]
Compound: NaIn2MoCl6
Source: the Open Quantum Materials Database
Functional: PBE
Structure: relaxed

Computed properties:
Calculated volume ... 1070.4 Å³ per cell
Crystal system ... cubic
E ... -155.03 eV for the cell shown

The structure in CIF format:
```
data_NaIn2MoCl6
_cell_length_a 10.229
_cell_length_b 10.229
_cell_length_c 10.229
_cell_angle_alpha 90.00
_cell_angle_beta 90.00
_cell_angle_gamma 90.00
_space_group_name_H-M_alt 'F m -3 m'
_space_group_IT_number 225
_space_group_name_Hall '-F 4 2 3'
loop_
_atom_site_label
_atom_site_type_symbol
_atom_site_fract_x
_atom_site_fract_y
_atom_site_fract_z
Na1 Na 0.000 0.000 0.000
In1 In 0.250 0.250 0.250
Mo1 Mo 0.000 0.000 0.500
Cl1 Cl 0.000 0.000 0.262
```